Record 1
First-principles (PBE) data for a relaxed structure of MgZn2In, as listed in Alexandria.

Lattice parameters (Å, degrees): 3.3566 3.9337 5.9439 90.00 90.00 90.00
With the nearest neighbours (Å) after each atom.
Fractional coordinates of all 4 atoms:
Mg 0.0000 0.0000 0.0000  8 Zn 2.94, 2 In 2.97
Zn 0.5000 0.5000 0.2342  1 Zn 2.78, 4 Mg 2.94, 4 In 3.03
Zn 0.5000 0.5000 0.7658  1 Zn 2.78, 4 Mg 2.94, 4 In 3.03
In 0.0000 0.0000 0.5000  2 Mg 2.97, 8 Zn 3.03

Calculated density: 5.711 g cm⁻³
SG: Pmmm, No. 47
Calculated volume: 78.5 Å³ per cell
Density of states at the Fermi level: 1.89 states/eV per cell
Formation enthalpy at 0 K: 8.3 kJ/mol of formula units
Total magnetic moment: 0.00 Bohr magnetons per cell



Record 2
First-principles (PBE) data for a relaxed structure of CeZn3Cd9, as listed in Alexandria.

Lattice parameters (Å, degrees): 7.4774 7.4774 7.4443 98.30 98.30 134.76
With the nearest neighbours (Å) after each atom.
Fractional coordinates of all 13 atoms:
Ce 0.0000 0.0000 0.0000  14 Cd 3.39-3.72, 6 Zn 3.74-3.75
Zn 0.0000 0.5000 0.0000  8 Cd 2.81-2.98, 2 Zn 2.88
Zn 0.5000 0.0000 0.0000  8 Cd 2.81-2.98, 2 Zn 2.88
Zn 0.5000 0.5000 0.5000  10 Cd 2.84-3.02
Cd 0.0000 0.0000 0.5000  2 Zn 2.88, 8 Cd 2.91-3.03
Cd 0.0010 0.6488 0.6567  3 Zn 2.93-3.02, 6 Cd 2.97-3.22
Cd 0.2914 0.5107 0.7869  3 Zn 2.81-2.84, 5 Cd 2.91-3.09
Cd 0.3512 0.9990 0.3433  3 Zn 2.93-3.02, 6 Cd 2.97-3.22
Cd 0.4893 0.7086 0.2131  3 Zn 2.81-2.84, 5 Cd 2.91-3.09
Cd 0.5107 0.2914 0.7869  3 Zn 2.81-2.84, 5 Cd 2.91-3.09
Cd 0.6488 0.0010 0.6567  3 Zn 2.93-3.02, 6 Cd 2.97-3.22
Cd 0.7086 0.4893 0.2131  3 Zn 2.81-2.84, 5 Cd 2.91-3.09
Cd 0.9990 0.3512 0.3433  3 Zn 2.93-3.02, 6 Cd 2.97-3.22

Calculated density: 8.172 g cm⁻³
SG: C2/m, No. 12
Calculated volume: 273.9 Å³ per cell
Density of states at the Fermi level: 9.86 states/eV per cell
Formation enthalpy at 0 K: -114.6 kJ/mol of formula units
Total magnetic moment: 1.03 Bohr magnetons per cell



Record 3
First-principles (PBE) data for a relaxed structure of Ce2MgPd6, as listed in Alexandria.

Lattice parameters (Å, degrees): 5.7563 5.7563 5.9916 90.00 90.00 120.00
With the nearest neighbours (Å) after each atom.
Fractional coordinates of all 9 atoms:
Ce 0.3333 0.6667 0.2893  9 Pd 2.95-3.26
Ce 0.6667 0.3333 0.7107  9 Pd 2.95-3.26
Mg 0.0000 0.0000 0.5000  6 Pd 2.56
Pd 0.1730 0.3460 0.8146  1 Mg 2.56, 4 Pd 2.77-2.81
Pd 0.1730 0.8270 0.8146  1 Mg 2.56, 4 Pd 2.77-2.81
Pd 0.3460 0.1730 0.1853  1 Mg 2.56, 4 Pd 2.77-2.81
Pd 0.6540 0.8270 0.8146  1 Mg 2.56, 4 Pd 2.77-2.81
Pd 0.8270 0.1730 0.1853  1 Mg 2.56, 4 Pd 2.77-2.81
Pd 0.8270 0.6540 0.1853  1 Mg 2.56, 4 Pd 2.77-2.81

Calculated density: 9.108 g cm⁻³
SG: P-3m1, No. 164
Calculated volume: 171.9 Å³ per cell
Density of states at the Fermi level: 11.84 states/eV per cell
Formation enthalpy at 0 K: -601.8 kJ/mol of formula units
Total magnetic moment: 1.16 Bohr magnetons per cell



Record 4
First-principles (PBE) data for a relaxed structure of Y2P2S, as listed in Alexandria.

Lattice parameters (Å, degrees): 7.3703 7.3703 3.9635 90.00 90.00 90.00
With the nearest neighbours (Å) after each atom.
Fractional coordinates of all 10 atoms:
Y 0.1836 0.3164 0.0000  2 S 2.70, 6 P 2.95-2.97
Y 0.3164 0.8164 0.0000  2 S 2.70, 6 P 2.95-2.97
Y 0.6836 0.1836 0.0000  2 S 2.70, 6 P 2.95-2.97
Y 0.8164 0.6836 0.0000  2 S 2.70, 6 P 2.95-2.97
P 0.1064 0.6064 0.5000  1 P 2.22
P 0.3936 0.1064 0.5000  1 P 2.22
P 0.6064 0.8936 0.5000  1 P 2.22
P 0.8936 0.3936 0.5000  1 P 2.22
S 0.0000 0.0000 0.0000  4 Y 2.70
S 0.5000 0.5000 0.0000  4 Y 2.70

Calculated density: 4.193 g cm⁻³
SG: P4/mbm, No. 127
Calculated volume: 215.3 Å³ per cell
Density of states at the Fermi level: 4.46 states/eV per cell
Uncorrected formation energy: -1.36 eV per atom
Total magnetic moment: 0.00 Bohr magnetons per cell



Record 5
First-principles (PBE) data for a relaxed structure of CrTe4Mo, as listed in Alexandria.

Lattice parameters (Å, degrees): 7.4287 7.4287 6.3678 109.76 109.76 27.74
With the nearest neighbours (Å) after each atom.
Fractional coordinates of all 6 atoms:
Cr 0.0000 0.0000 0.0000  6 Te 2.64-2.74, 2 Mo 2.95
Te 0.1544 0.1544 0.3745  1 Cr 2.64, 2 Mo 2.70
Te 0.3626 0.3626 0.9910  2 Cr 2.65, 1 Mo 2.67
Te 0.6046 0.6046 0.8509  2 Cr 2.71, 1 Mo 2.83
Te 0.9053 0.9053 0.5444  1 Cr 2.74, 2 Mo 2.81
Mo 0.5141 0.5141 0.3789  6 Te 2.67-2.83, 2 Cr 2.95

Calculated density: 7.130 g cm⁻³
SG: Cm, No. 8
Calculated volume: 153.3 Å³ per cell
Energy above the most stable polymorph in this dataset: 0 meV per atom
Density of states at the Fermi level: 4.73 states/eV per cell
Uncorrected formation energy: -0.17 eV per atom
Total magnetic moment: 1.04 Bohr magnetons per cell



Record 6
First-principles (PBE) data for a relaxed structure of KLiSc, as listed in Alexandria.

Lattice parameters (Å, degrees): 5.6389 5.6389 5.6389 60.00 60.00 60.00
With the nearest neighbours (Å) after each atom.
Fractional coordinates of all 3 atoms:
K 0.0000 0.0000 0.0000  4 Li 3.45, 4 Sc 3.45
Li 0.2500 0.2500 0.2500  4 K 3.45
Sc 0.7500 0.7500 0.7500  4 K 3.45

Calculated density: 1.192 g cm⁻³
SG: F-43m, No. 216
Calculated volume: 126.8 Å³ per cell
Energy above the most stable polymorph in this dataset: 699 meV per atom
Density of states at the Fermi level: 5.87 states/eV per cell
Formation enthalpy at 0 K: 324.4 kJ/mol of formula units
Total magnetic moment: 1.82 Bohr magnetons per cell



Record 7
First-principles (PBE) data for a relaxed structure of AlIr4Os, as listed in Alexandria.

Lattice parameters (Å, degrees): 5.1242 5.1242 5.1242 60.00 60.00 60.00
With the nearest neighbours (Å) after each atom.
Fractional coordinates of all 6 atoms:
Al 0.0000 0.0000 0.0000  12 Ir 3.00, 4 Os 3.14
Ir 0.1251 0.6250 0.6250  6 Ir 2.56
Ir 0.6250 0.1251 0.6250  6 Ir 2.56
Ir 0.6250 0.6250 0.1251  6 Ir 2.56
Ir 0.6250 0.6250 0.6250  6 Ir 2.56
Os 0.2500 0.2500 0.2500  12 Ir 3.00, 4 Al 3.14

Calculated density: 17.211 g cm⁻³
SG: F-43m, No. 216
Calculated volume: 95.1 Å³ per cell
Density of states at the Fermi level: 9.67 states/eV per cell
Formation enthalpy at 0 K: 325.5 kJ/mol of formula units
Total magnetic moment: 1.79 Bohr magnetons per cell



Record 8
First-principles (PBE) data for a relaxed structure of YZrW2, as listed in Alexandria.

Lattice parameters (Å, degrees): 2.9668 2.9668 10.0204 90.00 90.00 111.86
With the nearest neighbours (Å) after each atom.
Fractional coordinates of all 4 atoms:
Y 0.0000 0.0000 0.0000  4 Y 2.97, 2 W 3.04
Zr 0.5000 0.5000 0.6877  2 W 2.86, 4 Zr 2.97
W 0.0000 0.0000 0.4550  2 W 2.61, 2 Zr 2.86
W 0.5000 0.5000 0.2535  2 W 2.61

Calculated density: 11.114 g cm⁻³
SG: Cmm2, No. 35
Calculated volume: 81.9 Å³ per cell
Energy above the most stable polymorph in this dataset: 126 meV per atom
Density of states at the Fermi level: 3.77 states/eV per cell
Formation enthalpy at 0 K: 128.7 kJ/mol of formula units
Total magnetic moment: 0.00 Bohr magnetons per cell



Record 9
First-principles (PBE) data for a relaxed structure of Tb3Pr2S4, as listed in Alexandria.

Lattice parameters (Å, degrees): 6.8388 6.8388 9.7369 117.40 117.40 33.54
With the nearest neighbours (Å) after each atom.
Fractional coordinates of all 9 atoms:
Tb 0.0000 0.0000 0.0000  6 S 2.78-2.79
Tb 0.2052 0.2052 0.8055  5 S 2.72-2.80
Tb 0.7948 0.7948 0.1945  5 S 2.72-2.80
Pr 0.4004 0.4004 0.5977  4 S 2.85-2.90
Pr 0.5996 0.5996 0.4023  4 S 2.85-2.90
S 0.1987 0.1987 0.2906  3 Tb 2.74-2.78, 3 Pr 2.85-2.88
S 0.3961 0.3961 0.0943  5 Tb 2.72-2.80, 1 Pr 2.90
S 0.6039 0.6039 0.9057  5 Tb 2.72-2.80, 1 Pr 2.90
S 0.8013 0.8013 0.7094  3 Tb 2.74-2.78, 3 Pr 2.85-2.88

Calculated density: 6.675 g cm⁻³
SG: C2/m, No. 12
Calculated volume: 220.6 Å³ per cell
Density of states at the Fermi level: 5.36 states/eV per cell
Uncorrected formation energy: -1.78 eV per atom
Total magnetic moment: 0.00 Bohr magnetons per cell



Record 10
First-principles (PBE) data for a relaxed structure of Ba3TbZn2O6, as listed in Alexandria.

Lattice parameters (Å, degrees): 6.1813 6.1813 7.0576 90.00 90.00 120.00
With the nearest neighbours (Å) after each atom.
Fractional coordinates of all 12 atoms:
Ba 0.0000 0.0000 0.0000  6 O 2.80
Ba 0.3333 0.6667 0.6427  9 O 2.97-3.11, 1 Zn 3.14
Ba 0.6667 0.3333 0.3573  9 O 2.97-3.11, 1 Zn 3.14
Tb 0.0000 0.0000 0.5000  6 O 2.26
Zn 0.3333 0.6667 0.1980  3 O 1.93
Zn 0.6667 0.3333 0.8020  3 O 1.93
O 0.1672 0.3345 0.3054  1 Zn 1.93
O 0.1672 0.8328 0.3054  1 Zn 1.93
O 0.3345 0.1672 0.6946  1 Zn 1.93
O 0.6655 0.8328 0.3054  1 Zn 1.93
O 0.8328 0.1672 0.6946  1 Zn 1.93
O 0.8328 0.6655 0.6946  1 Zn 1.93

Calculated density: 5.672 g cm⁻³
SG: P-3m1, No. 164
Calculated volume: 233.5 Å³ per cell
Density of states at the Fermi level: 2.43 states/eV per cell
Uncorrected formation energy: -2.22 eV per atom
Total magnetic moment: 0.65 Bohr magnetons per cell



Record 11
First-principles (PBE) data for a relaxed structure of LiSm2FeC, as listed in Alexandria.

Lattice parameters (Å, degrees): 5.1407 5.1407 3.6901 90.00 90.00 90.00
With the nearest neighbours (Å) after each atom.
Fractional coordinates of all 5 atoms:
Li 0.0000 0.0000 0.0000  8 Sm 3.16
Sm 0.0000 0.5000 0.5000  2 C 2.57
Sm 0.5000 0.0000 0.5000  2 C 2.57
Fe 0.5000 0.5000 0.0000  2 C 1.85
C 0.5000 0.5000 0.5000  2 Fe 1.85

Calculated density: 6.394 g cm⁻³
SG: P4/mmm, No. 123
Calculated volume: 97.5 Å³ per cell
Density of states at the Fermi level: 3.22 states/eV per cell
Formation enthalpy at 0 K: -52.3 kJ/mol of formula units
Total magnetic moment: 0.00 Bohr magnetons per cell



Record 12
First-principles (PBE) data for a relaxed structure of Li7Ag5S6, as listed in Alexandria.

Lattice parameters (Å, degrees): 11.8411 5.5015 5.5015 86.62 90.00 90.00
With the nearest neighbours (Å) after each atom.
Fractional coordinates of all 18 atoms:
Li 0.0000 0.0000 0.0000  3 S 2.35-2.39
Li 0.1667 0.1123 0.4870  3 S 2.38-2.43
Li 0.1667 0.4870 0.1123  3 S 2.38-2.43
Li 0.5000 0.1116 0.4872  3 S 2.39-2.43
Li 0.5000 0.4872 0.1116  3 S 2.39-2.43
Li 0.8333 0.1123 0.4870  3 S 2.38-2.43
Li 0.8333 0.4870 0.1123  3 S 2.38-2.43
Ag 0.0000 0.6095 0.6095  3 S 2.49-2.64
Ag 0.2963 0.5967 0.5967  3 S 2.45-2.70
Ag 0.3689 0.9930 0.9930  3 S 2.46-2.75
Ag 0.6311 0.9930 0.9930  3 S 2.46-2.75
Ag 0.7037 0.5967 0.5967  3 S 2.45-2.70
S 0.0000 0.2990 0.2990  5 Li 2.39-2.43, 1 Ag 2.49
S 0.1635 0.8334 0.8334  3 Li 2.35-2.38, 1 Ag 2.46
S 0.3330 0.2960 0.2960  4 Li 2.42-2.43, 2 Ag 2.45-2.46
S 0.5000 0.7486 0.7486  2 Li 2.39, 2 Ag 2.50
S 0.6670 0.2960 0.2960  4 Li 2.42-2.43, 2 Ag 2.45-2.46
S 0.8365 0.8334 0.8334  3 Li 2.35-2.38, 1 Ag 2.46

Calculated density: 3.622 g cm⁻³
SG: Amm2, No. 38
Calculated volume: 357.8 Å³ per cell
Density of states at the Fermi level: 0.31 states/eV per cell
Uncorrected formation energy: -0.71 eV per atom
Total magnetic moment: 0.00 Bohr magnetons per cell